No. 1
NpScIrOs | PBE | relaxed

a = 6.636 Å, b = 6.636 Å, c = 6.636 Å
α = 90.00°, β = 90.00°, γ = 90.00°
Space group F-43m (No. 216)
Inequivalent atoms, fractional coordinates:
Np: 0.000 0.000 0.000 (multiplicity 4)
Sc: 0.000 0.000 0.500 (multiplicity 4)
Ir: 0.250 0.250 0.250 (multiplicity 4)
Os: 0.250 0.250 0.750 (multiplicity 4)

VASP energy in eV/atom: -10.190
Spin magnetization in μB per atom: 0.753
Formation energy from the elements in eV per atom: -0.349

No. 2
TcSe2 | PBE | relaxed

a = 3.034 Å, b = 3.034 Å, c = 13.514 Å
α = 90.00°, β = 90.00°, γ = 90.00°
Space group I4/mmm (No. 139)
Inequivalent atoms, fractional coordinates:
Tc: 0.000 0.000 0.000 (multiplicity 2)
Se: 0.000 0.000 0.385 (multiplicity 4)

VASP energy in eV/atom: -5.943
Spin magnetization in μB per atom: 0.000
Energy relative to the elements, uncorrected in eV per atom: -0.165